A geometry-optimized Np2UAs2 structure. Source: Alexandria, functional PBE.

Computed properties:
volume	112.63	Å³/cell
energy of formation from the pure elements	-369	meV/atom

Unit cell a=3.9188 b=5.7082 c=5.7079 alpha=83.56 beta=69.92 gamma=69.92
Each line ends with the local moment (μB).
Fractional positions:
Np: 0.0000 0.8008 0.6993  4.09
Np: 0.0000 0.1992 0.3007  4.09
As: 0.7202 0.7798 0.2799  -0.09
As: 0.2798 0.2202 0.7201  -0.09
U: 0.5000 0.5000 0.0000  2.72



A geometry-optimized Np5UAs6 structure. Source: Alexandria, functional PBE.

Computed properties:
volume	290.96	Å³/cell
energy of formation from the pure elements	-658	meV/atom

Unit cell a=7.0925 b=7.0925 c=7.0198 alpha=99.59 beta=99.59 gamma=119.23
Each line ends with the local moment (μB).
Fractional positions:
Np: 0.3331 0.6669 0.0000  -3.69
Np: 0.6669 0.3331 0.0000  -3.69
Np: 0.8337 0.1663 0.5000  3.70
Np: 0.5000 0.5000 0.5000  -3.68
Np: 0.1663 0.8337 0.5000  3.70
U: 0.0000 0.0000 0.0000  2.05
As: 0.9166 0.5842 0.7505  0.00
As: 0.5842 0.9166 0.7505  0.00
As: 0.7504 0.7504 0.2486  0.00
As: 0.2496 0.2496 0.7514  0.00
As: 0.4158 0.0834 0.2495  0.00
As: 0.0834 0.4158 0.2495  0.00



Density of states at the Fermi level per entry: 12.34; 51.75 states/eV/cell
Ρ per entry: 12.71; 10.69 g/cm3
Total DFT energy (no corrections) per entry: -9.663; -9.315 eV/atom